Entry 1:
A plane-wave DFT calculation with PBEsol was carried out for crystalline FeHgSb2 at its relaxed geometry.

The structure in POSCAR format:
```
FeHgSb2
1.0
7.046 0.000 0.000
0.000 7.046 0.000
0.000 0.000 7.046
Fe Hg Sb
4 4 8
Direct
0.000 0.000 0.000
0.000 0.500 0.500
0.500 0.000 0.500
0.500 0.500 0.000
0.250 0.250 0.750
0.250 0.750 0.250
0.750 0.250 0.250
0.750 0.750 0.750
0.000 0.000 0.500
0.000 0.500 0.000
0.250 0.250 0.250
0.250 0.750 0.750
0.500 0.000 0.000
0.500 0.500 0.500
0.750 0.250 0.750
0.750 0.750 0.250
```

Calculated values
SG = No. 216
N(E_F) = 20.330 states/eV per cell
calculated volume = 350 Å³ per cell
formation energy from raw total energies = 606 meV per atom


Entry 2:
A plane-wave DFT calculation with PBEsol was carried out for crystalline LiTaP2 at its relaxed geometry.

The structure in POSCAR format:
```
LiTaP2
1.0
6.667 0.000 0.000
0.000 6.666 0.000
-0.751 0.000 2.688
Li Ta P
2 2 4
Direct
0.000 0.000 0.000
0.500 0.500 0.000
0.000 0.500 0.000
0.500 0.000 0.000
0.250 0.250 0.500
0.250 0.750 0.500
0.750 0.250 0.500
0.750 0.750 0.500
```

Calculated values
energy above the most stable polymorph in this dataset = 0.278 eV/atom
formation energy = -28.2 kJ per mole of atoms
SG = No. 12
N(E_F) = 4.120 states/eV per cell
calculated volume = 119 Å³ per cell


Q: Which formula does entry 1 have?
A: FeHgSb2


Q: N(E_F) of number 1 (FeHgSb2)?
A: 20.330 states/eV per cell


Q: Among the records above, which one has the lowest calculated volume?
A: LiTaP2